1.
Li2YTlF: optimized geometry, GGA-PBE.

Structure (CIF):
```
data_Li2YTlF
_chemical_formula_sum 'Li2 Y1 Tl1 F1'
_cell_length_a 4.444
_cell_length_b 4.444
_cell_length_c 4.769
_cell_angle_alpha 90.00
_cell_angle_beta 90.00
_cell_angle_gamma 90.00
_space_group_name_H-M_alt 'P 4/m m m'
_space_group_IT_number 123
_space_group_name_Hall '-P 4 2'
loop_
_atom_site_label
_atom_site_type_symbol
_atom_site_fract_x
_atom_site_fract_y
_atom_site_fract_z
_atom_site_occupancy
Li1 Li 0.000 0.500 0.000 1
Y1 Y 0.000 0.000 0.500 1
Tl1 Tl 0.500 0.500 0.500 1
F1 F 0.000 0.000 0.000 1
```

The calculation puts the mass density at 5750 kg/m³.

2.
LiTl3Zn2F8: optimized geometry, GGA-PBE.

Structure (CIF):
```
data_LiTl3Zn2F8
_chemical_formula_sum 'Li1 Tl3 Zn2 F8'
_cell_length_a 6.0150
_cell_length_b 6.0150
_cell_length_c 7.7154
_cell_angle_alpha 90.00
_cell_angle_beta 90.00
_cell_angle_gamma 120.00
_space_group_name_H-M_alt 'P -3 m 1'
_space_group_IT_number 164
_space_group_name_Hall '-P 3 2"'
loop_
_atom_site_label
_atom_site_type_symbol
_atom_site_fract_x
_atom_site_fract_y
_atom_site_fract_z
_atom_site_occupancy
Li1 Li 0.0000 0.0000 0.0000 1
Tl1 Tl 0.0000 0.0000 0.5000 1
Tl2 Tl 0.3333 0.6667 0.1523 1
Zn1 Zn 0.3333 0.6667 0.7278 1
F1 F 0.1611 0.3223 0.8259 1
F2 F 0.3333 0.6667 0.4818 1
```

The calculation puts the mass density at 6202 kg/m³.

3.
Li2Tl2ZnF6: optimized geometry, GGA-PBE.

Structure (CIF):
```
data_Li2Tl2ZnF6
_chemical_formula_sum 'Li6 Tl6 Zn3 F18'
_cell_length_a 5.9902
_cell_length_b 5.9902
_cell_length_c 16.5568
_cell_angle_alpha 90.00
_cell_angle_beta 90.00
_cell_angle_gamma 120.00
_space_group_name_H-M_alt 'R -3 m'
_space_group_IT_number 166
_space_group_name_Hall '-R 3 2"'
loop_
_atom_site_label
_atom_site_type_symbol
_atom_site_fract_x
_atom_site_fract_y
_atom_site_fract_z
_atom_site_occupancy
Li1 Li 0.0000 0.0000 0.0943 1
Tl1 Tl 0.0000 0.0000 0.2883 1
Zn1 Zn 0.0000 0.0000 0.5000 1
F1 F 0.0165 0.5083 0.2439 1
```

The calculation puts the mass density at 5829 kg/m³.

4.
Li3TlZn4F12: optimized geometry, GGA-PBE.

Structure (CIF):
```
data_Li3TlZn4F12
_chemical_formula_sum 'Li6 Tl2 Zn8 F24'
_cell_length_a 7.796
_cell_length_b 7.796
_cell_length_c 7.796
_cell_angle_alpha 90.00
_cell_angle_beta 90.00
_cell_angle_gamma 90.00
_space_group_name_H-M_alt 'I m -3'
_space_group_IT_number 204
_space_group_name_Hall '-I 2 2 3'
loop_
_atom_site_label
_atom_site_type_symbol
_atom_site_fract_x
_atom_site_fract_y
_atom_site_fract_z
_atom_site_occupancy
Li1 Li 0.000 0.000 0.500 1
Tl1 Tl 0.000 0.000 0.000 1
Zn1 Zn 0.250 0.250 0.250 1
F1 F 0.000 0.183 0.317 1
```

The calculation puts the mass density at 5010 kg/m³.

5.
LiTlZn2F6: optimized geometry, GGA-PBE.

Structure (CIF):
```
data_LiTlZn2F6
_chemical_formula_sum 'Li4 Tl4 Zn8 F24'
_cell_length_a 9.527
_cell_length_b 12.098
_cell_length_c 6.490
_cell_angle_alpha 90.00
_cell_angle_beta 112.08
_cell_angle_gamma 90.00
_space_group_name_H-M_alt 'C 1 2/c 1'
_space_group_IT_number 15
loop_
_space_group_symop_operation_xyz
'x,y,z'
'-x,-y,-z'
'-x,y,-z+1/2'
'x,-y,z+1/2'
'x+1/2,y+1/2,z'
'-x+1/2,-y+1/2,-z'
'-x+1/2,y+1/2,-z+1/2'
'x+1/2,-y+1/2,z+1/2'
loop_
_atom_site_label
_atom_site_type_symbol
_atom_site_fract_x
_atom_site_fract_y
_atom_site_fract_z
_atom_site_occupancy
Li1 Li 0.000 0.195 0.250 1
Tl1 Tl 0.000 0.107 0.750 1
Zn1 Zn 0.135 0.415 0.651 1
F1 F 0.073 0.273 0.520 1
F2 F 0.111 0.455 0.944 1
F3 F 0.145 0.091 0.221 1
```

The calculation puts the mass density at 4371 kg/m³.

6.
LiTlZnF4: optimized geometry, GGA-PBE.

Structure (CIF):
```
data_LiTlZnF4
_chemical_formula_sum 'Li2 Tl2 Zn2 F8'
_cell_length_a 5.188
_cell_length_b 5.713
_cell_length_c 7.706
_cell_angle_alpha 90.00
_cell_angle_beta 102.06
_cell_angle_gamma 90.00
_space_group_name_H-M_alt 'P 1 21/m 1'
_space_group_IT_number 11
loop_
_space_group_symop_operation_xyz
'x,y,z'
'-x,-y,-z'
'-x,y+1/2,-z'
'x,-y+1/2,z'
loop_
_atom_site_label
_atom_site_type_symbol
_atom_site_fract_x
_atom_site_fract_y
_atom_site_fract_z
_atom_site_occupancy
Li1 Li 0.141 0.250 0.014 1
Tl1 Tl 0.183 0.750 0.633 1
Zn1 Zn 0.373 0.750 0.192 1
F1 F 0.097 0.510 0.174 1
F2 F 0.348 0.250 0.606 1
F3 F 0.491 0.750 0.969 1
```

The calculation puts the mass density at 5244 kg/m³.

Which formation energy (no corrections) belongs to each record? In order, -1.21; -2.14; -2.30; -2.42; -2.31; -2.29 eV per atom.